First-principles (PBE) data for a relaxed Ta2WS crystal, as listed in Alexandria via LeMat-Bulk. Values from VASP.

Structure (Quantum ESPRESSO input):
```
&SYSTEM
  ibrav = 0, nat = 16, ntyp = 3
/
ATOMIC_SPECIES
Ta 180.95 Ta.upf
W 183.84 W.upf
S 32.06 S.upf
CELL_PARAMETERS angstrom
3.933 0.000 0.000
0.000 3.933 0.000
0.000 0.000 18.339
ATOMIC_POSITIONS crystal
Ta 0.237 0.250 0.125
Ta 0.250 0.737 0.375
Ta 0.250 0.763 0.875
Ta 0.263 0.250 0.625
Ta 0.737 0.750 0.625
Ta 0.750 0.237 0.875
Ta 0.750 0.263 0.375
Ta 0.763 0.750 0.125
W 0.000 0.000 0.500
W 0.000 0.500 0.750
W 0.500 0.000 0.250
W 0.500 0.500 0.000
S 0.000 0.000 0.000
S 0.000 0.500 0.250
S 0.500 0.000 0.750
S 0.500 0.500 0.500
```

## Properties
Its formation energy without anion corrections is 0.708 eV per atom. For the total moment, the calculation gives 0.00 μB/atom. As for the calculated volume: 283.7 Å³ per cell.